[1]
Here is a relaxed structure of YNiSbPd from Alexandria. Energies are from PBE-GGA.

Calculated values
As for the raw formation energy: -0.63 eV/atom. The value obtained for the total magnetization is 0.000 μB/f.u. For the total energy, the calculation gives -6.024 eV/atom.

Cell: 6.670 6.670 6.670 Å, 90.00 90.00 90.00°
Space group F-43m (No. 216)
Inequivalent atoms, fractional coordinates:
Y 0.000 0.000 0.000
Ni 0.250 0.250 0.750
Sb 0.000 0.000 0.500
Pd 0.250 0.250 0.250

[2]
Here is a relaxed structure of Th4C3S from Alexandria. Energies are from PBE-GGA.

Calculated values
As for the raw formation energy: -0.63 eV/atom. The value obtained for the total magnetization is 0.000 μB/f.u. The energy above the most stable polymorph in this dataset comes out at 51 kJ/mol of formula units. For the total energy, the calculation gives -8.313 eV/atom.

Cell: 5.468 5.468 5.468 Å, 90.00 90.00 90.00°
Space group Pm-3m (No. 221)
Inequivalent atoms, fractional coordinates:
Th 0.000 0.000 0.000
Th 0.000 0.500 0.500
C 0.000 0.000 0.500
S 0.500 0.500 0.500

[3]
Here is a relaxed structure of LaTbY2Tm5 from Alexandria. Energies are from PBE-GGA.

Calculated values
For the formation enthalpy at 0 K, the calculation gives 0.167 eV per atom. The value obtained for the total magnetization is 0.000 μB/f.u. For the total energy, the calculation gives -4.816 eV/atom.

Cell: 5.591 19.632 10.552 Å, 90.00 90.00 90.00°
Space group Cmc2_1 (No. 36)
Inequivalent atoms, fractional coordinates:
La 0.000 0.080 0.000
Tb 0.000 0.298 0.559
Y 0.000 0.387 0.867
Y 0.000 0.389 0.280
Tm 0.000 0.021 0.282
Tm 0.000 0.111 0.570
Tm 0.000 0.203 0.258
Tm 0.000 0.218 0.859
Tm 0.000 0.482 0.575

[4]
Here is a relaxed structure of Tl2CdCu3F12 from Alexandria. Energies are from PBE-GGA.

Calculated values
As for the raw formation energy: -1.65 eV/atom. The value obtained for the total magnetization is 3.046 μB/f.u. For the total energy, the calculation gives -3.894 eV/atom.

Cell: 7.5395 7.5395 14.9558 Å, 90.00 90.00 120.00°
Space group R-3m (No. 166, hexagonal axes)
Inequivalent atoms, fractional coordinates:
Tl 0.0000 0.0000 0.1038
Cd 0.0000 0.0000 0.5000
Cu 0.0000 0.5000 0.0000
F 0.0666 0.5333 0.8746
F 0.0899 0.5450 0.2987

[5]
Here is a relaxed structure of NaMg2NbTl from Alexandria. Energies are from PBE-GGA.

Calculated values
For the formation enthalpy at 0 K, the calculation gives 0.725 eV per atom. The value obtained for the total magnetization is 2.511 μB/f.u. For the total energy, the calculation gives -2.664 eV/atom.

Cell: 5.520 5.520 5.506 Å, 90.00 90.00 90.00°
Space group P4/mmm (No. 123)
Inequivalent atoms, fractional coordinates:
Na 0.000 0.000 0.000
Mg 0.000 0.500 0.500
Nb 0.500 0.500 0.500
Tl 0.500 0.500 0.000

[6]
Here is a relaxed structure of NaPr3Er3Te8 from Alexandria. Energies are from PBE-GGA.

Calculated values
As for the raw formation energy: -1.35 eV/atom. The value obtained for the total magnetization is 0.000 μB/f.u. For the total energy, the calculation gives -4.979 eV/atom.

Cell: 8.8170 8.8170 21.7519 Å, 90.00 90.00 120.00°
Space group R-3m (No. 166, hexagonal axes)
Inequivalent atoms, fractional coordinates:
Na 0.0000 0.0000 0.0000
Pr 0.0000 0.5000 0.5000
Er 0.0000 0.5000 0.0000
Te 0.0000 0.0000 0.2552
Te 0.0148 0.5074 0.2517

[7]
Here is a relaxed structure of Na2SnPbW from Alexandria. Energies are from PBE-GGA.

Calculated values
For the formation enthalpy at 0 K, the calculation gives 1.196 eV per atom. The value obtained for the total magnetization is 2.695 μB/f.u. For the total energy, the calculation gives -3.464 eV/atom.

Cell: 5.498 5.498 5.339 Å, 90.00 90.00 90.00°
Space group P4/mmm (No. 123)
Inequivalent atoms, fractional coordinates:
Na 0.000 0.500 0.000
Sn 0.000 0.000 0.500
Pb 0.500 0.500 0.000
W 0.500 0.500 0.500

[8]
Here is a relaxed structure of Ta3Mo5H12 from Alexandria. Energies are from PBE-GGA.

Calculated values
The value obtained for the total magnetization is 0.000 μB/f.u. For the total energy, the calculation gives -6.447 eV/atom.

Cell: 11.027 11.027 11.027 Å, 90.00 90.00 90.00°
Space group Ia-3d (No. 230)
Inequivalent atoms, fractional coordinates:
Ta 0.000 0.250 0.125
Mo 0.000 0.000 0.000
Mo 0.000 0.250 0.375
H 0.011 0.072 0.652

[9]
Here is a relaxed structure of Li2LaCr from Alexandria. Energies are from PBE-GGA.

Calculated values
For the formation enthalpy at 0 K, the calculation gives 0.521 eV per atom. The value obtained for the total magnetization is 4.607 μB/f.u. The energy above the most stable polymorph in this dataset comes out at 65 kJ/mol of formula units. For the total energy, the calculation gives -4.074 eV/atom.

Cell: 3.411 5.269 10.535 Å, 90.00 90.00 90.00°
Space group Cmmm (No. 65)
Inequivalent atoms, fractional coordinates:
Li 0.000 0.000 0.217
La 0.000 0.500 0.500
Cr 0.000 0.500 0.000

[10]
Here is a relaxed structure of DyTmTh4 from Alexandria. Energies are from PBE-GGA.

Calculated values
For the formation enthalpy at 0 K, the calculation gives 0.087 eV per atom. The value obtained for the total magnetization is 0.000 μB/f.u. The energy above the most stable polymorph in this dataset comes out at 2 kJ/mol of formula units. For the total energy, the calculation gives -6.371 eV/atom.

Cell: 5.691 6.975 9.838 Å, 90.00 90.00 90.00°
Space group Immm (No. 71)
Inequivalent atoms, fractional coordinates:
Dy 0.000 0.000 0.000
Tm 0.000 0.500 0.000
Th 0.000 0.249 0.334

[11]
Here is a relaxed structure of PrIn4Ni2 from Alexandria. Energies are from PBE-GGA.

Calculated values
For the formation enthalpy at 0 K, the calculation gives -0.175 eV per atom. The value obtained for the total magnetization is 0.000 μB/f.u. The energy above the most stable polymorph in this dataset comes out at 94 kJ/mol of formula units. For the total energy, the calculation gives -4.074 eV/atom.

Cell: 4.504 15.104 4.513 Å, 90.00 90.00 90.00°
Space group Cmmm (No. 65)
Inequivalent atoms, fractional coordinates:
Pr 0.000 0.000 0.000
In 0.000 0.168 0.500
In 0.000 0.330 0.000
Ni 0.000 0.422 0.500

[12]
Here is a relaxed structure of AcTb2Pr2Tm2 from Alexandria. Energies are from PBE-GGA.

Calculated values
For the formation enthalpy at 0 K, the calculation gives 0.044 eV per atom. The value obtained for the total magnetization is 0.000 μB/f.u. For the total energy, the calculation gives -4.509 eV/atom.

Cell: 11.575 5.163 8.129 Å, 90.00 98.41 90.00°
Space group C2/m (No. 12)
Inequivalent atoms, fractional coordinates:
Ac 0.000 0.000 0.000
Tb 0.074 0.500 0.705
Pr 0.215 0.500 0.153
Tm 0.142 0.000 0.434